Below is Zn2Ni2Au at its PBEsol-relaxed geometry, with properties calculated at the meta-GGA SCAN level.

Results
Space group: P4/mbm (127)
Formation energy, eV/atom: -0.08
Total magnetization, μB per cell: 0.0

Cell lengths 2.727, 6.859, 6.859 Å; angles 90.00, 90.00, 90.00 degrees
Positions (direct):
Ni 0.500 0.162 0.662
Ni 0.500 0.662 0.838
Ni 0.500 0.838 0.338
Ni 0.500 0.338 0.162
Zn 0.000 0.367 0.867
Zn 0.000 0.633 0.133
Zn 0.000 0.133 0.367
Zn 0.000 0.867 0.633
Au 0.000 0.500 0.500
Au 0.000 0.000 0.000

Below is Ta2IrRu at its PBEsol-relaxed geometry, with properties calculated at the meta-GGA SCAN level.

Results
Space group: Cmmm (65)
Formation energy, eV/atom: -0.52
Total magnetization, μB per cell: 0.0

Cell lengths 2.915, 4.684, 4.684 Å; angles 103.01, 90.00, 90.00 degrees
Positions (direct):
Ta 0.000 0.500 0.000
Ta 0.000 0.000 0.500
Ru 0.500 0.500 0.500
Ir 0.500 0.000 0.000

Below is NaB3SeO7 at its PBEsol-relaxed geometry, with properties calculated at the meta-GGA SCAN level.

Results
Raw formation energy, eV/atom: -2.1553
Space group: P2_1/c (14)
Total magnetization, μB per cell: 0.0

Cell lengths 4.518, 8.687, 16.030 Å; angles 90.00, 90.00, 98.37 degrees
Positions (direct):
B 0.493 0.023 0.182
B 0.507 0.977 0.818
B 0.507 0.477 0.682
B 0.493 0.778 0.261
B 0.677 0.253 0.095
B 0.677 0.753 0.405
B 0.507 0.722 0.761
B 0.323 0.747 0.905
B 0.323 0.247 0.595
B 0.493 0.278 0.239
B 0.507 0.222 0.739
B 0.493 0.523 0.318
O 0.426 0.118 0.248
O 0.398 0.656 0.834
O 0.001 0.297 0.081
O 0.398 0.156 0.666
O 0.472 0.200 0.518
O 0.111 0.831 0.587
O 0.595 0.585 0.392
O 0.405 0.415 0.608
O 0.602 0.844 0.334
O 0.472 0.700 0.982
O 0.449 0.364 0.308
O 0.426 0.618 0.252
O 0.405 0.915 0.892
O 0.595 0.085 0.108
O 0.999 0.203 0.581
O 0.999 0.703 0.919
O 0.528 0.800 0.482
O 0.602 0.344 0.166
O 0.528 0.300 0.018
O 0.889 0.669 0.087
O 0.111 0.331 0.913
O 0.551 0.136 0.808
O 0.574 0.382 0.748
O 0.001 0.797 0.419
O 0.574 0.882 0.752
O 0.551 0.636 0.692
O 0.449 0.864 0.192
O 0.889 0.169 0.413
Se 0.841 0.785 0.009
Se 0.841 0.285 0.491
Se 0.159 0.715 0.509
Se 0.159 0.215 0.991
Na 0.673 0.450 0.891
Na 0.327 0.550 0.109
Na 0.327 0.050 0.391
Na 0.673 0.950 0.609

Below is Ti2CdO at its PBEsol-relaxed geometry, with properties calculated at the meta-GGA SCAN level.

Results
Raw formation energy, eV/atom: 0.0402
Space group: Fm-3m (225)
Total magnetization, μB per cell: 0.0

Cell lengths 4.373, 4.373, 4.373 Å; angles 60.00, 60.00, 60.00 degrees
Positions (direct):
Cd 0.500 0.500 0.500
O 0.000 0.000 0.000
Ti 0.750 0.750 0.750
Ti 0.250 0.250 0.250

Below is Hf3MgH at its PBEsol-relaxed geometry, with properties calculated at the meta-GGA SCAN level.

Results
Space group: Pm-3m (221)
Total DFT energy (no corrections), eV/cell: -196.9
Total magnetization, μB per cell: 0.0

Cell lengths 4.396, 4.396, 4.396 Å; angles 90.00, 90.00, 90.00 degrees
Positions (direct):
Hf 0.000 0.500 0.000
Hf 0.500 0.000 0.000
Hf 0.000 0.000 0.500
H 0.000 0.000 0.000
Mg 0.500 0.500 0.500

Below is ZrIn2Co at its PBEsol-relaxed geometry, with properties calculated at the meta-GGA SCAN level.

Results
Space group: P2/m (10)
Formation energy, eV/atom: -0.02
Total magnetization, μB per cell: 1.3

Cell lengths 3.124, 4.400, 5.559 Å; angles 90.00, 102.90, 90.00 degrees
Site moments in Bohr magnetons follow the coordinates.
Positions (direct):
In 0.857 0.000 0.731  -0.03
In 0.143 0.000 0.269  -0.03
Zr 0.500 0.500 0.000  -0.12
Co 0.000 0.500 0.500  1.57

Below is Li2YCd at its PBEsol-relaxed geometry, with properties calculated at the meta-GGA SCAN level.

Results
Space group: C2/m (12)
Formation energy, eV/atom: -0.14
Total magnetization, μB per cell: 0.0

Cell lengths 3.401, 5.267, 5.364 Å; angles 104.06, 108.48, 90.00 degrees
Positions (direct):
Li 0.768 0.794 0.536
Li 0.232 0.206 0.464
Y 0.000 0.500 0.000
Cd 0.500 0.000 0.000

Below is SrH2 at its PBEsol-relaxed geometry, with properties calculated at the meta-GGA SCAN level.

Results
Space group: P6_3/mmc (194)
Total DFT energy (no corrections), eV/cell: -62.1
Total magnetization, μB per cell: 0.0

Cell lengths 4.058, 4.058, 5.484 Å; angles 90.00, 90.00, 120.00 degrees
Positions (direct):
H 0.000 0.000 0.000
H 0.333 0.667 0.750
H 0.667 0.333 0.250
H 0.000 0.000 0.500
Sr 0.333 0.667 0.250
Sr 0.667 0.333 0.750

Below is Cd2CoSe at its PBEsol-relaxed geometry, with properties calculated at the meta-GGA SCAN level.

Results
Raw formation energy, eV/atom: 0.0358
Space group: Amm2 (38)
Total magnetization, μB per cell: 1.0

Cell lengths 3.006, 4.175, 6.263 Å; angles 109.47, 90.00, 90.00 degrees
Site moments in Bohr magnetons follow the coordinates.
Positions (direct):
Se 0.500 0.574 0.148  -0.10
Co 0.000 0.718 0.435  1.20
Cd 0.500 0.275 0.549  -0.04
Cd 0.000 0.937 0.875  -0.01

Below is MgV2O4 at its PBEsol-relaxed geometry, with properties calculated at the meta-GGA SCAN level.

Results
Raw formation energy, eV/atom: -2.7380
Space group: R3m (160)
Total magnetization, μB per cell: 8.0

Cell lengths 5.966, 5.966, 5.966 Å; angles 58.72, 58.72, 58.72 degrees
Site moments in Bohr magnetons follow the coordinates.
Positions (direct):
O 0.625 0.625 0.143  -0.01
O 0.618 0.618 0.618  -0.03
O 0.594 0.133 0.133  0.02
O 0.143 0.625 0.625  -0.01
O 0.133 0.594 0.133  0.02
O 0.133 0.133 0.594  0.02
O 0.131 0.131 0.131  -0.02
O 0.625 0.143 0.625  -0.01
Mg 0.375 0.375 0.375  0.01
Mg 0.996 0.996 0.996  0.01
V 0.371 0.884 0.371  1.86
V 0.884 0.371 0.371  1.86
V 0.371 0.371 0.884  1.86
V 0.749 0.749 0.749  1.90

Below is CaTl3Ge at its PBEsol-relaxed geometry, with properties calculated at the meta-GGA SCAN level.

Results
Space group: Pm-3m (221)
Formation energy, eV/atom: 0.13
Total magnetization, μB per cell: 0.0

Cell lengths 5.425, 5.425, 5.425 Å; angles 90.00, 90.00, 90.00 degrees
Positions (direct):
Tl 0.500 0.000 0.000
Tl 0.000 0.500 0.000
Tl 0.000 0.000 0.500
Ge 0.000 0.000 0.000
Ca 0.500 0.500 0.500

Below is TbGeAu at its PBEsol-relaxed geometry, with properties calculated at the meta-GGA SCAN level.

Results
Space group: P6_3mc (186)
Formation energy, eV/atom: -1.06
Total magnetization, μB per cell: 0.0

Cell lengths 4.416, 4.416, 7.212 Å; angles 90.00, 90.00, 120.00 degrees
Positions (direct):
Au 0.333 0.667 0.710
Au 0.667 0.333 0.210
Tb 0.000 0.000 0.999
Tb 0.000 0.000 0.499
Ge 0.333 0.667 0.290
Ge 0.667 0.333 0.790

Below is As2BrNCl at its PBEsol-relaxed geometry, with properties calculated at the meta-GGA SCAN level.

Results
Raw formation energy, eV/atom: 1.0041
Space group: P4/mmm (123)
Total magnetization, μB per cell: 0.0

Cell lengths 4.435, 4.435, 4.590 Å; angles 90.00, 90.00, 90.00 degrees
Positions (direct):
As 0.000 0.500 0.000
As 0.500 0.000 0.000
Br 0.000 0.000 0.500
Cl 0.500 0.500 0.500
N 0.000 0.000 0.000

Below is CrTc2W at its PBEsol-relaxed geometry, with properties calculated at the meta-GGA SCAN level.

Results
Space group: P4mm (99)
Formation energy, eV/atom: 0.04
Total magnetization, μB per cell: 0.0

Cell lengths 3.007, 3.007, 6.105 Å; angles 90.00, 90.00, 90.00 degrees
Positions (direct):
Tc 0.500 0.500 0.259
Tc 0.000 0.000 0.977
W 0.000 0.000 0.509
Cr 0.500 0.500 0.755

Below is RbNa2LaC at its PBEsol-relaxed geometry, with properties calculated at the meta-GGA SCAN level.

Results
Space group: P4/mmm (123)
Formation energy, eV/atom: 0.50
Total magnetization, μB per cell: 0.7

Cell lengths 4.698, 5.864, 5.864 Å; angles 90.00, 90.00, 90.00 degrees
Site moments in Bohr magnetons follow the coordinates.
Positions (direct):
Na 0.000 0.000 0.500  0.01
Na 0.000 0.500 0.000  0.01
La 0.500 0.000 0.000  0.12
C 0.000 0.000 0.000  0.04
Rb 0.500 0.500 0.500  0.02

Below is Sc2CdRh at its PBEsol-relaxed geometry, with properties calculated at the meta-GGA SCAN level.

Results
Space group: R-3m (166)
Formation energy, eV/atom: -0.19
Total magnetization, μB per cell: 0.0

Cell lengths 3.174, 3.174, 9.916 Å; angles 80.79, 80.79, 60.00 degrees
Positions (direct):
Rh 0.500 0.500 0.500
Sc 0.103 0.103 0.692
Sc 0.897 0.897 0.308
Cd 0.000 0.000 0.000

Below is TcIrRh2 at its PBEsol-relaxed geometry, with properties calculated at the meta-GGA SCAN level.

Results
Space group: C2/m (12)
Formation energy, eV/atom: -0.10
Total magnetization, μB per cell: 0.0

Cell lengths 2.674, 4.649, 4.661 Å; angles 99.50, 106.67, 90.00 degrees
Positions (direct):
Tc 0.500 0.000 0.000
Rh 0.750 0.752 0.501
Rh 0.250 0.248 0.499
Ir 0.000 0.500 0.000

Below is Mg3Ag4 at its PBEsol-relaxed geometry, with properties calculated at the meta-GGA SCAN level.

Results
Space group: I4/mmm (139)
Formation energy, eV/atom: -0.18
Total magnetization, μB per cell: 0.0

Cell lengths 3.412, 3.412, 10.996 Å; angles 98.92, 98.92, 90.00 degrees
Positions (direct):
Mg 0.706 0.706 0.411
Mg 0.000 0.000 0.000
Mg 0.294 0.294 0.589
Ag 0.430 0.430 0.861
Ag 0.570 0.570 0.139
Ag 0.141 0.141 0.282
Ag 0.859 0.859 0.718

Below is CsTl2Ga2 at its PBEsol-relaxed geometry, with properties calculated at the meta-GGA SCAN level.

Results
Space group: I4/mmm (139)
Formation energy, eV/atom: -0.10
Total magnetization, μB per cell: 0.0

Cell lengths 4.974, 4.974, 6.763 Å; angles 111.58, 111.58, 90.00 degrees
Positions (direct):
Cs 0.000 0.000 0.000
Tl 0.250 0.750 0.500
Tl 0.750 0.250 0.500
Ga 0.387 0.387 0.773
Ga 0.613 0.613 0.227

Below is CoNi2Rh at its PBEsol-relaxed geometry, with properties calculated at the meta-GGA SCAN level.

Results
Space group: R3m (160)
Formation energy, eV/atom: 0.06
Total magnetization, μB per cell: 4.1

Cell lengths 2.546, 2.546, 8.264 Å; angles 81.14, 81.14, 60.00 degrees
Site moments in Bohr magnetons follow the coordinates.
Positions (direct):
Co 0.253 0.253 0.241  1.99
Rh 0.501 0.501 0.498  0.61
Ni 0.999 0.999 0.002  0.84
Ni 0.747 0.747 0.759  0.91

Below is LiScPd2 at its PBEsol-relaxed geometry, with properties calculated at the meta-GGA SCAN level.

Results
Space group: Fm-3m (225)
Formation energy, eV/atom: -0.78
Total magnetization, μB per cell: 0.0

Cell lengths 4.429, 4.429, 4.429 Å; angles 60.00, 60.00, 60.00 degrees
Positions (direct):
Li 0.000 0.000 0.000
Pd 0.750 0.750 0.750
Pd 0.250 0.250 0.250
Sc 0.500 0.500 0.500

Below is YBe3 at its PBEsol-relaxed geometry, with properties calculated at the meta-GGA SCAN level.

Results
Space group: Pm-3m (221)
Formation energy, eV/atom: 0.50
Total magnetization, μB per cell: 0.0

Cell lengths 3.916, 3.916, 3.916 Å; angles 90.00, 90.00, 90.00 degrees
Positions (direct):
Be 0.500 0.000 0.500
Be 0.500 0.500 0.000
Be 0.000 0.500 0.500
Y 0.000 0.000 0.000

Below is La5Sn3I at its PBEsol-relaxed geometry, with properties calculated at the meta-GGA SCAN level.

Results
Raw formation energy, eV/atom: -1.0146
Space group: P6_3/mcm (193)
Total magnetization, μB per cell: 4.1

Cell lengths 6.946, 9.649, 9.649 Å; angles 120.00, 90.00, 90.00 degrees
Site moments in Bohr magnetons follow the coordinates.
Positions (direct):
La 0.000 0.333 0.667  0.29
La 0.750 0.277 0.000  0.14
La 0.750 0.000 0.277  0.14
La 0.000 0.667 0.333  0.29
La 0.250 0.000 0.723  0.14
La 0.750 0.723 0.723  0.14
La 0.250 0.277 0.277  0.14
La 0.250 0.723 0.000  0.14
La 0.500 0.667 0.333  0.29
La 0.500 0.333 0.667  0.29
Sn 0.750 0.384 0.384  -0.05
Sn 0.250 0.384 0.000  -0.05
Sn 0.750 0.616 0.000  -0.05
Sn 0.250 0.616 0.616  -0.05
Sn 0.750 0.000 0.616  -0.05
Sn 0.250 0.000 0.384  -0.05
I 0.000 0.000 0.000  -0.01
I 0.500 0.000 0.000  -0.01

Below is Ag2OsBr at its PBEsol-relaxed geometry, with properties calculated at the meta-GGA SCAN level.

Results
Raw formation energy, eV/atom: 0.7503
Space group: Imm2 (44)
Total magnetization, μB per cell: 0.5

Cell lengths 2.859, 4.475, 6.725 Å; angles 109.44, 102.27, 90.00 degrees
Site moments in Bohr magnetons follow the coordinates.
Positions (direct):
Br 0.434 0.434 0.867  0.02
Ag 0.078 0.078 0.156  0.03
Ag 0.219 0.719 0.438  0.03
Os 0.769 0.269 0.539  0.36

Below is CdCo at its PBEsol-relaxed geometry, with properties calculated at the meta-GGA SCAN level.

Results
Space group: P-6m2 (187)
Formation energy, eV/atom: 0.46
Total magnetization, μB per cell: 1.8

Cell lengths 2.783, 2.783, 4.412 Å; angles 90.00, 90.00, 120.00 degrees
Site moments in Bohr magnetons follow the coordinates.
Positions (direct):
Co 0.667 0.333 0.500  1.93
Cd 0.000 0.000 0.000  -0.03